No. 1
# RbLuHgSe3 (PBE-GGA, optimized geometry)
data_RbLuHgSe3
_space_group_name_H-M_alt 'P 1'
_space_group_IT_number 1
_space_group_name_Hall 'P 1'
_cell_length_a 8.6806
_cell_length_b 4.2076
_cell_length_c 10.7952
_cell_angle_alpha 90.00
_cell_angle_beta 110.32
_cell_angle_gamma 90.00
loop_
_atom_site_label
_atom_site_type_symbol
_atom_site_fract_x
_atom_site_fract_y
_atom_site_fract_z
_atom_site_occupancy
Se1 Se 0.4599 0.7500 0.6369 1
Rb1 Rb 0.7453 0.7500 0.2222 1
Lu1 Lu 0.3243 0.7500 0.3669 1
Hg1 Hg 0.9168 0.7500 0.8845 1
Hg2 Hg 0.0832 0.2500 0.1155 1
Se2 Se 0.2541 0.7500 0.0672 1
Rb2 Rb 0.2547 0.2500 0.7778 1
Se3 Se 0.0943 0.2500 0.3600 1
Se4 Se 0.9057 0.7500 0.6400 1
Se5 Se 0.5401 0.2500 0.3631 1
Se6 Se 0.7459 0.2500 0.9328 1
Lu2 Lu 0.6757 0.2500 0.6331 1
# Total energy, eV per formula unit: -23.3


No. 2
# RbLuHgTe3 (PBE-GGA, optimized geometry)
data_RbLuHgTe3
_space_group_name_H-M_alt 'P 1'
_space_group_IT_number 1
_space_group_name_Hall 'P 1'
_cell_length_a 9.2104
_cell_length_b 4.4537
_cell_length_c 11.3634
_cell_angle_alpha 90.00
_cell_angle_beta 110.09
_cell_angle_gamma 90.00
loop_
_atom_site_label
_atom_site_type_symbol
_atom_site_fract_x
_atom_site_fract_y
_atom_site_fract_z
_atom_site_occupancy
Te1 Te 0.0452 0.2500 0.3570 1
Hg1 Hg 0.5776 0.2500 0.1145 1
Lu1 Lu 0.1769 0.2500 0.6367 1
Hg2 Hg 0.4224 0.7500 0.8855 1
Te2 Te 0.5907 0.2500 0.3647 1
Te3 Te 0.9548 0.7500 0.6430 1
Rb1 Rb 0.2505 0.7500 0.2145 1
Te4 Te 0.2457 0.2500 0.9341 1
Te5 Te 0.4093 0.7500 0.6353 1
Te6 Te 0.7543 0.7500 0.0659 1
Lu2 Lu 0.8231 0.7500 0.3633 1
Rb2 Rb 0.7495 0.2500 0.7855 1
# Total energy, eV per formula unit: -20.7


No. 3
# LuReHg2 (PBE-GGA, optimized geometry)
data_LuReHg2
_space_group_name_H-M_alt 'P 1'
_space_group_IT_number 1
_space_group_name_Hall 'P 1'
_cell_length_a 4.8635
_cell_length_b 4.8635
_cell_length_c 4.8635
_cell_angle_alpha 60.00
_cell_angle_beta 60.00
_cell_angle_gamma 60.00
loop_
_atom_site_label
_atom_site_type_symbol
_atom_site_fract_x
_atom_site_fract_y
_atom_site_fract_z
_atom_site_occupancy
Hg1 Hg 0.7500 0.7500 0.7500 1
Re1 Re 0.5000 0.5000 0.5000 1
Lu1 Lu 0.2500 0.2500 0.2500 1
Hg2 Hg 0.0000 0.0000 0.0000 1
# Energy relative to the elements, eV/atom: 0.543


No. 4
# LuRe2Hg (PBE-GGA, optimized geometry)
data_LuRe2Hg
_space_group_name_H-M_alt 'P 1'
_space_group_IT_number 1
_space_group_name_Hall 'P 1'
_cell_length_a 4.6687
_cell_length_b 4.6687
_cell_length_c 4.6687
_cell_angle_alpha 60.00
_cell_angle_beta 60.00
_cell_angle_gamma 60.00
loop_
_atom_site_label
_atom_site_type_symbol
_atom_site_fract_x
_atom_site_fract_y
_atom_site_fract_z
_atom_site_occupancy
Re1 Re 0.0000 0.0000 0.0000 1
Lu1 Lu 0.2500 0.2500 0.2500 1
Re2 Re 0.7500 0.7500 0.7500 1
Hg1 Hg 0.5000 0.5000 0.5000 1
# Energy relative to the elements, eV/atom: 0.432


No. 5
# LuHgSbTe3 (PBE-GGA, optimized geometry)
data_LuHgSbTe3
_space_group_name_H-M_alt 'P 1'
_space_group_IT_number 1
_space_group_name_Hall 'P 1'
_cell_length_a 8.2184
_cell_length_b 8.2184
_cell_length_c 12.1702
_cell_angle_alpha 90.00
_cell_angle_beta 90.00
_cell_angle_gamma 149.96
loop_
_atom_site_label
_atom_site_type_symbol
_atom_site_fract_x
_atom_site_fract_y
_atom_site_fract_z
_atom_site_occupancy
Sb1 Sb 0.3757 0.6243 0.7500 1
Te1 Te 0.6340 0.3660 0.9979 1
Te2 Te 0.0067 0.9933 0.7500 1
Hg1 Hg 0.2707 0.7293 0.2500 1
Te3 Te 0.3660 0.6340 0.0021 1
Hg2 Hg 0.7293 0.2707 0.7500 1
Sb2 Sb 0.6243 0.3757 0.2500 1
Lu1 Lu 0.0000 0.0000 0.5000 1
Te4 Te 0.3660 0.6340 0.4979 1
Lu2 Lu 0.0000 0.0000 0.0000 1
Te5 Te 0.6340 0.3660 0.5021 1
Te6 Te 0.9933 0.0067 0.2500 1
# Total energy, eV per formula unit: -21.5


No. 6
# LuSc2Hg (PBE-GGA, optimized geometry)
data_LuSc2Hg
_space_group_name_H-M_alt 'P 1'
_space_group_IT_number 1
_space_group_name_Hall 'P 1'
_cell_length_a 5.0930
_cell_length_b 5.0930
_cell_length_c 5.0930
_cell_angle_alpha 60.00
_cell_angle_beta 60.00
_cell_angle_gamma 60.00
loop_
_atom_site_label
_atom_site_type_symbol
_atom_site_fract_x
_atom_site_fract_y
_atom_site_fract_z
_atom_site_occupancy
Sc1 Sc 0.0000 0.0000 0.0000 1
Hg1 Hg 0.5000 0.5000 0.5000 1
Lu1 Lu 0.2500 0.2500 0.2500 1
Sc2 Sc 0.7500 0.7500 0.7500 1
# Energy relative to the elements, eV/atom: -0.057